No. 1
Computed, not measured: a PBEsol-optimized structure of TlCr at the meta-GGA SCAN level of DFT.

Density in Mg/m³: 11.495
ΔH_f (0 K) in eV per atom: 0.6801

Cell and atoms, written as CIF:
```
data_TlCr
_chemical_formula_sum 'Tl2 Cr2'
_cell_length_a 3.0520
_cell_length_b 3.0520
_cell_length_c 9.1826
_cell_angle_alpha 90.00
_cell_angle_beta 90.00
_cell_angle_gamma 120.00
_symmetry_space_group_name_H-M 'P -3 m 1'
_symmetry_Int_Tables_number 164
_symmetry_space_group_name_Hall '-P 3 2"'
loop_
_atom_site_label
_atom_site_type_symbol
_atom_site_fract_x
_atom_site_fract_y
_atom_site_fract_z
Tl1 Tl 0.3333 0.6667 0.1600
Cr1 Cr 0.3333 0.6667 0.5752
```

---

No. 2
Computed, not measured: a PBEsol-optimized structure of TlCr at the meta-GGA SCAN level of DFT.

Density in Mg/m³: 10.977
ΔH_f (0 K) in eV per atom: 0.4394

Cell and atoms, written as CIF:
```
data_TlCr
_chemical_formula_sum 'Tl4 Cr4'
_cell_length_a 10.762
_cell_length_b 3.176
_cell_length_c 4.809
_cell_angle_alpha 90.00
_cell_angle_beta 109.33
_cell_angle_gamma 90.00
_symmetry_space_group_name_H-M 'C 1 2/m 1'
_symmetry_Int_Tables_number 12
_symmetry_space_group_name_Hall '-C 2y'
loop_
_atom_site_label
_atom_site_type_symbol
_atom_site_fract_x
_atom_site_fract_y
_atom_site_fract_z
Tl1 Tl 0.122 0.000 0.289
Cr1 Cr 0.124 0.500 0.791
```